Entry 1:
Entry from the Alexandria database: a relaxed structure of Li3YAg (PBEsol).

For the formation energy, the calculation gives 0.215 eV per atom.

It has space group Pm-3m (No. 221), with a = 4.7673 Å, b = 4.7673 Å, c = 4.7673 Å, α = 90.00°, β = 90.00° and γ = 90.00°. The asymmetric unit holds Li at (0.0000, 0.0000, 0.5000), Y at (0.5000, 0.5000, 0.5000) and Ag at (0.0000, 0.0000, 0.0000).


Entry 2:
Entry from the Alexandria database: a relaxed structure of FeCu3 (PBEsol).

For the formation energy, the calculation gives 0.094 eV per atom.

It has space group P4/mmm (No. 123), with a = 2.4845 Å, b = 2.4845 Å, c = 7.2820 Å, α = 90.00°, β = 90.00° and γ = 90.00°. The asymmetric unit holds Fe at (0.0000, 0.0000, 0.0000), Cu at (0.0000, 0.0000, 0.5000) and Cu at (0.5000, 0.5000, 0.2511).


Entry 3:
Entry from the Alexandria database: a relaxed structure of YCrNi (PBEsol).

For the formation energy, the calculation gives 0.265 eV per atom.

It has space group I4mm (No. 107), with a = 3.1943 Å, b = 3.1943 Å, c = 9.9718 Å, α = 90.00°, β = 90.00° and γ = 90.00°. The asymmetric unit holds Y at (0.0000, 0.0000, 0.0000), Cr at (0.0000, 0.0000, 0.7110) and Ni at (0.0000, 0.0000, 0.3007).


Entry 4:
Entry from the Alexandria database: a relaxed structure of Li2Ag2Sn (PBEsol).

For the formation energy, the calculation gives -0.225 eV per atom.

It has space group P4/mbm (No. 127), with a = 7.4137 Å, b = 7.4137 Å, c = 3.1153 Å, α = 90.00°, β = 90.00° and γ = 90.00°. The asymmetric unit holds Li at (0.1650, 0.3350, 0.0000), Ag at (0.1315, 0.6315, 0.5000) and Sn at (0.0000, 0.0000, 0.5000).


Entry 5:
Entry from the Alexandria database: a relaxed structure of CoW2Au (PBEsol).

For the formation energy, the calculation gives 0.213 eV per atom. The energy above the lowest structure with this stoichiometry comes out at 0.000 eV per atom.

It has space group Cmm2 (No. 35), with a = 3.8277 Å, b = 3.8380 Å, c = 7.9014 Å, α = 90.00°, β = 90.00° and γ = 90.00°. The asymmetric unit holds Co at (0.0000, 0.0000, 0.0000), W at (0.0000, 0.0000, 0.5146), W at (0.0000, 0.5000, 0.7945) and Au at (0.0000, 0.5000, 0.2470).


Entry 6:
Entry from the Alexandria database: a relaxed structure of SrZn2Cr (PBEsol).

For the formation energy, the calculation gives 0.441 eV per atom.

It has space group F-43m (No. 216), with a = 6.8306 Å, b = 6.8306 Å, c = 6.8306 Å, α = 90.00°, β = 90.00° and γ = 90.00°. The asymmetric unit holds Sr at (0.0000, 0.0000, 0.0000), Zn at (0.0000, 0.0000, 0.5000), Zn at (0.2500, 0.2500, 0.7500) and Cr at (0.2500, 0.2500, 0.2500).


Entry 7:
Entry from the Alexandria database: a relaxed structure of TlSiIr2 (PBEsol).

The energy above the lowest structure with this stoichiometry comes out at 0.197 eV per atom.

It has space group I-4m2 (No. 119), with a = 3.7547 Å, b = 3.7547 Å, c = 8.9268 Å, α = 90.00°, β = 90.00° and γ = 90.00°. The asymmetric unit holds Tl at (0.0000, 0.0000, 0.0000), Si at (0.0000, 0.5000, 0.7500), Ir at (0.0000, 0.0000, 0.5000) and Ir at (0.0000, 0.5000, 0.2500).


Entry 8:
Entry from the Alexandria database: a relaxed structure of LiCoS3 (PBEsol).

The energy above the lowest structure with this stoichiometry comes out at 0.000 eV per atom.

It has space group Pm-3m (No. 221), with a = 4.4293 Å, b = 4.4293 Å, c = 4.4293 Å, α = 90.00°, β = 90.00° and γ = 90.00°. The asymmetric unit holds Li at (0.0000, 0.0000, 0.0000), Co at (0.5000, 0.5000, 0.5000) and S at (0.0000, 0.5000, 0.5000).


Entry 9:
Entry from the Alexandria database: a relaxed structure of LiMg2Tc (PBEsol).

For the formation energy, the calculation gives 0.286 eV per atom. The energy above the lowest structure with this stoichiometry comes out at 0.022 eV per atom.

It has space group P4mm (No. 99), with a = 2.7073 Å, b = 2.7073 Å, c = 9.1928 Å, α = 90.00°, β = 90.00° and γ = 90.00°. The asymmetric unit holds Li at (0.0000, 0.0000, 0.0000), Mg at (0.0000, 0.0000, 0.5482), Mg at (0.5000, 0.5000, 0.2643) and Tc at (0.5000, 0.5000, 0.7755).


Entry 10:
Entry from the Alexandria database: a relaxed structure of K2GeTe4 (PBEsol).

It has space group P2_1/c (No. 14), with a = 12.5233 Å, b = 8.2104 Å, c = 10.0893 Å, α = 90.00°, β = 103.77° and γ = 90.00°. The asymmetric unit holds K at (0.0427, 0.0640, 0.2065), K at (0.3527, 0.0654, 0.7060), Ge at (0.2565, 0.6455, 0.5338), Te at (0.1114, 0.6379, 0.0288), Te at (0.2056, 0.1506, 0.9632), Te at (0.3447, 0.5159, 0.7723) and Te at (0.4348, 0.7447, 0.4602).


Entry 11:
Entry from the Alexandria database: a relaxed structure of Sc3BCl (PBEsol).

It has space group Pm-3m (No. 221), with a = 4.5746 Å, b = 4.5746 Å, c = 4.5746 Å, α = 90.00°, β = 90.00° and γ = 90.00°. The asymmetric unit holds Sc at (0.0000, 0.0000, 0.5000), B at (0.5000, 0.5000, 0.5000) and Cl at (0.0000, 0.0000, 0.0000).


Entry 12:
Entry from the Alexandria database: a relaxed structure of KHg2Pd2 (PBEsol).

For the formation energy, the calculation gives -0.170 eV per atom. The energy above the lowest structure with this stoichiometry comes out at 0.000 eV per atom.

It has space group P4/mbm (No. 127), with a = 8.2530 Å, b = 8.2530 Å, c = 2.9518 Å, α = 90.00°, β = 90.00° and γ = 90.00°. The asymmetric unit holds K at (0.0000, 0.0000, 0.0000), Hg at (0.1401, 0.3599, 0.0000) and Pd at (0.1556, 0.6556, 0.5000).


Entry 13:
Entry from the Alexandria database: a relaxed structure of KZn3Ir (PBEsol).

For the formation energy, the calculation gives -0.026 eV per atom. The energy above the lowest structure with this stoichiometry comes out at 0.000 eV per atom.

It has space group Pm-3m (No. 221), with a = 4.8320 Å, b = 4.8320 Å, c = 4.8320 Å, α = 90.00°, β = 90.00° and γ = 90.00°. The asymmetric unit holds K at (0.0000, 0.0000, 0.0000), Zn at (0.0000, 0.5000, 0.5000) and Ir at (0.5000, 0.5000, 0.5000).


Entry 14:
Entry from the Alexandria database: a relaxed structure of SrMnOs (PBEsol).

For the formation energy, the calculation gives 0.598 eV per atom.

It has space group Imm2 (No. 44), with a = 2.8809 Å, b = 3.6526 Å, c = 11.1570 Å, α = 90.00°, β = 90.00° and γ = 90.00°. The asymmetric unit holds Sr at (0.0000, 0.0000, 0.0000), Mn at (0.0000, 0.0000, 0.7187) and Os at (0.0000, 0.0000, 0.2856).


Entry 15:
Entry from the Alexandria database: a relaxed structure of BaBePb2 (PBEsol).

For the formation energy, the calculation gives 0.278 eV per atom.

It has space group I4/mmm (No. 139), with a = 4.7729 Å, b = 4.7729 Å, c = 10.2114 Å, α = 90.00°, β = 90.00° and γ = 90.00°. The asymmetric unit holds Ba at (0.0000, 0.0000, 0.0000), Be at (0.0000, 0.0000, 0.5000) and Pb at (0.0000, 0.5000, 0.2500).


Entry 16:
Entry from the Alexandria database: a relaxed structure of La2PbI (PBEsol).

It has space group Fm-3m (No. 225), with a = 7.8706 Å, b = 7.8706 Å, c = 7.8706 Å, α = 90.00°, β = 90.00° and γ = 90.00°. The asymmetric unit holds La at (0.2500, 0.2500, 0.2500), Pb at (0.0000, 0.0000, 0.0000) and I at (0.0000, 0.0000, 0.5000).


Entry 17:
Entry from the Alexandria database: a relaxed structure of TlInSe2 (PBEsol).

It has space group I4/mcm (No. 140), with a = 7.5937 Å, b = 7.5937 Å, c = 6.9971 Å, α = 90.00°, β = 90.00° and γ = 90.00°. The asymmetric unit holds Tl at (0.0000, 0.5000, 0.2500), In at (0.0000, 0.0000, 0.2500) and Se at (0.1984, 0.3016, 0.0000).


Entry 18:
Entry from the Alexandria database: a relaxed structure of HfTePt2Cl (PBEsol).

It has space group P4/mmm (No. 123), with a = 4.8439 Å, b = 4.8439 Å, c = 5.3810 Å, α = 90.00°, β = 90.00° and γ = 90.00°. The asymmetric unit holds Hf at (0.0000, 0.0000, 0.0000), Te at (0.0000, 0.0000, 0.5000), Pt at (0.0000, 0.5000, 0.5000) and Cl at (0.5000, 0.5000, 0.0000).


Entry 19:
Entry from the Alexandria database: a relaxed structure of Sr2AgTe2 (PBEsol).

It has space group P4/mbm (No. 127), with a = 8.5061 Å, b = 8.5061 Å, c = 4.2945 Å, α = 90.00°, β = 90.00° and γ = 90.00°. The asymmetric unit holds Sr at (0.1520, 0.3480, 0.0000), Ag at (0.0000, 0.0000, 0.5000) and Te at (0.1577, 0.6577, 0.5000).


Entry 20:
Entry from the Alexandria database: a relaxed structure of Be3P2H4O10 (PBEsol).

It has space group C2/c (No. 15), with a = 15.9859 Å, b = 4.5676 Å, c = 9.5276 Å, α = 90.00°, β = 94.21° and γ = 90.00°. The asymmetric unit holds Be at (0.0000, 0.1932, 0.2500), Be at (0.2477, 0.0464, 0.1573), P at (0.1545, 0.0408, 0.3964), H at (0.0657, 0.3927, 0.6897), H at (0.0948, 0.3278, 0.0971), O at (0.0479, 0.4190, 0.1470), O at (0.0657, 0.0220, 0.8338), O at (0.1664, 0.0877, 0.0460), O at (0.1764, 0.3655, 0.3959) and O at (0.2182, 0.1188, 0.8008).


It is found that the raw total energy values, taken in the order of the records, are -2.99 -5.40 -7.48 -3.19 -9.61 -3.37 -6.58 -4.59 -3.88 -3.55 -5.55 -3.01 -3.17 -7.34 -3.26 -4.96 -3.51 -5.21 -3.81 -6.78 eV/atom.